SmNpPt10 | the Alexandria database | GGA-PBE | relaxed; V = 18.6 Å³/atom; energy of formation from the pure elements = -55 kJ per mole of atoms
1.0
4.449 0.000 0.000
0.000 5.383 0.000
0.000 0.000 9.301
Pt Np Sm
10 1 1
direct
0.500 0.749 0.251
0.000 0.000 0.335
0.500 0.251 0.749
0.000 0.500 0.831
0.000 0.000 0.665
0.500 0.500 0.000
0.500 0.749 0.749
0.500 0.251 0.251
0.500 0.000 0.500
0.000 0.500 0.169
0.000 0.500 0.500
0.000 0.000 0.000